{
  "formula": "RbWCl6",
  "functional": "PBE",
  "state": "relaxed",
  "formation_energy_uncorrected_ev_per_fu": -9.2,
  "de_polymorph_ev_per_atom": 0.0082,
  "density_g_cm3": 3.21,
  "final_energy_ev_per_atom": -4.27,
  "cell": [[6.365, -0.839, -0.123], [-0.359, 6.410, -0.123], [1.580, 1.465, 6.091]],
  "species": ["Cl", "Cl", "Cl", "Cl", "W", "Rb", "Cl", "Cl"],
  "fractional_positions": [[0.069, 0.734, 0.266], [0.734, 0.069, 0.266], [0.266, 0.931, 0.734], [0.931, 0.266, 0.734], [0.000, 0.000, 0.000], [0.500, 0.500, 0.500], [0.733, 0.733, 0.937], [0.267, 0.267, 0.063]]
}

=====

{
  "formula": "RbWCl6",
  "functional": "PBE",
  "state": "relaxed",
  "formation_energy_uncorrected_ev_per_fu": -9.3,
  "de_polymorph_ev_per_atom": 0.0000,
  "density_g_cm3": 3.30,
  "final_energy_ev_per_atom": -4.28,
  "cell": [[-5.378, 1.791, -3.968], [-2.875, -4.258, -4.635], [-9.373, -4.612, 6.663]],
  "species": ["Cl", "Cl", "Cl", "W", "W", "Cl", "Cl", "Cl", "Cl", "Rb", "Rb", "Cl", "Cl", "Cl", "Cl", "Cl"],
  "fractional_positions": [[0.697, 0.468, 0.103], [0.303, 0.532, 0.897], [0.803, 0.892, 0.033], [0.500, 0.000, 0.500], [0.000, 0.500, 0.000], [0.108, 0.197, 0.467], [0.197, 0.108, 0.967], [0.611, 0.812, 0.339], [0.812, 0.611, 0.839], [0.903, 0.097, 0.750], [0.097, 0.903, 0.250], [0.389, 0.188, 0.661], [0.532, 0.303, 0.397], [0.188, 0.389, 0.161], [0.892, 0.803, 0.533], [0.468, 0.697, 0.603]]
}

=====

{
  "formula": "RbW2Cl",
  "functional": "PBE",
  "state": "relaxed",
  "formation_energy_uncorrected_ev_per_fu": 4.9,
  "de_polymorph_ev_per_atom": 0.0000,
  "density_g_cm3": 6.67,
  "final_energy_ev_per_atom": -5.94,
  "cell": [[-1.612, 1.436, -3.232], [2.779, -1.683, -2.134], [-8.472, -13.353, -4.044]],
  "species": ["Rb", "Cl", "W", "W", "W", "W", "Rb", "Cl"],
  "fractional_positions": [[0.750, 0.250, 0.500], [0.250, 0.750, 0.500], [0.169, 0.125, 0.250], [0.875, 0.419, 0.750], [0.581, 0.625, 0.250], [0.375, 0.831, 0.750], [0.000, 0.000, 0.000], [0.500, 0.500, 0.000]]
}

=====

{
  "formula": "RbWCl3",
  "functional": "PBE",
  "state": "relaxed",
  "formation_energy_uncorrected_ev_per_fu": -4.6,
  "de_polymorph_ev_per_atom": 0.0000,
  "density_g_cm3": 3.65,
  "final_energy_ev_per_atom": -4.82,
  "cell": [[-2.816, -5.770, -2.664], [2.795, -3.154, 5.480], [-5.490, -2.139, 5.555]],
  "species": ["Cl", "Rb", "Rb", "Cl", "Cl", "Cl", "W", "Cl", "W", "Cl"],
  "fractional_positions": [[0.763, 0.589, 0.951], [0.709, 0.124, 0.350], [0.247, 0.722, 0.071], [0.147, 0.235, 0.022], [0.193, 0.257, 0.470], [0.809, 0.611, 0.399], [0.825, 0.463, 0.719], [0.330, 0.706, 0.662], [0.131, 0.383, 0.702], [0.626, 0.140, 0.759]]
}

=====

{
  "formula": "RbW2Cl",
  "functional": "PBE",
  "state": "relaxed",
  "formation_energy_uncorrected_ev_per_fu": 11.5,
  "de_polymorph_ev_per_atom": 1.6316,
  "density_g_cm3": 10.72,
  "final_energy_ev_per_atom": -4.31,
  "cell": [[0.000, 3.357, 3.357], [3.357, 0.000, 3.357], [3.357, 3.357, 0.000]],
  "species": ["W", "W", "Rb", "Cl"],
  "fractional_positions": [[0.750, 0.750, 0.750], [0.250, 0.250, 0.250], [0.500, 0.500, 0.500], [0.000, 0.000, 0.000]]
}

=====

{
  "formula": "RbWCl2",
  "functional": "PBE",
  "state": "relaxed",
  "formation_energy_uncorrected_ev_per_fu": 3.5,
  "de_polymorph_ev_per_atom": 0.9182,
  "density_g_cm3": 6.45,
  "final_energy_ev_per_atom": -3.53,
  "cell": [[-0.124, -4.977, 0.227], [0.383, -2.304, 4.403], [-3.960, -2.308, 1.958]],
  "species": ["Cl", "Rb", "W", "Cl"],
  "fractional_positions": [[0.250, 0.250, 0.250], [0.000, 0.000, 0.000], [0.500, 0.500, 0.500], [0.750, 0.750, 0.750]]
}